DFT (PBE) results for crystalline LaTaTe at its relaxed geometry.

Cell and atoms, written as CIF:
```
data_LaTaTe
_space_group_name_H-M_alt 'P 3 m 1'
_space_group_IT_number 156
_space_group_name_Hall 'P 3 -2"'
_cell_length_a 3.6178
_cell_length_b 3.6178
_cell_length_c 7.1569
_cell_angle_alpha 90.00
_cell_angle_beta 90.00
_cell_angle_gamma 120.00
loop_
_atom_site_label
_atom_site_type_symbol
_atom_site_fract_x
_atom_site_fract_y
_atom_site_fract_z
_atom_site_occupancy
La1 La 0.0000 0.0000 0.0000 1
Ta1 Ta 0.6667 0.3333 0.3486 1
Te1 Te 0.3333 0.6667 0.6124 1
```

Results
Density of states at the Fermi level   0.33 states/eV per atom
M_tot   0.000 μB per formula unit
Energy relative to the lowest polymorph listed for this composition   133.6 meV/atom
V   81 Å³ per cell